# In3Ga5Ag2, relaxed, DFT PBE
# - Volume: 21.5 A^3/atom
# - Crystal system: orthorhombic
# - E_form: 0.0199 eV per atom
# - ρ: 7.0 g/cm³
data_In3Ga5Ag2
_symmetry_space_group_name_H-M 'I b a m'
_symmetry_Int_Tables_number 72
_symmetry_space_group_name_Hall '-I 2 2c'
_cell_length_a 11.516
_cell_length_b 12.450
_cell_length_c 6.003
_cell_angle_alpha 90.00
_cell_angle_beta 90.00
_cell_angle_gamma 90.00
loop_
_atom_site_label
_atom_site_type_symbol
_atom_site_fract_x
_atom_site_fract_y
_atom_site_fract_z
In1 In 0.000 0.000 0.250
In2 In 0.121 0.244 0.000
Ga1 Ga 0.000 0.500 0.250
Ga2 Ga 0.121 0.361 0.500
Ga3 Ga 0.244 0.500 0.250
Ag1 Ag 0.145 0.153 0.500